[1]
This record from the Alexandria database describes a geometry-optimized K3VI2F6 structure. The functional is PBE with a Hubbard U.

Computed properties:
The calculation puts the uncorrected energy at -52.62 eV per cell. The space group is C2/m.

a = 8.2197 Å, b = 8.2197 Å, c = 6.3663 Å
α = 90.45°, β = 90.45°, γ = 48.18°
Fractional positions:
K1 0.0000 0.0000 0.0000
K2 0.0000 0.5000 0.5000
K3 0.5000 0.0000 0.5000
V1 0.5000 0.5000 0.5000
I1 0.2428 0.2428 0.0043
I2 0.7572 0.7572 0.9957
F1 0.2850 0.6909 0.2996
F2 0.3091 0.7150 0.7004
F3 0.3726 0.3726 0.5362
F4 0.6274 0.6274 0.4638
F5 0.6909 0.2850 0.2996
F6 0.7150 0.3091 0.7004

***

[2]
This record from the Alexandria database describes a geometry-optimized K3WI2F6 structure. The functional is PBE with a Hubbard U.

Computed properties:
The calculation puts the uncorrected energy at -52.91 eV per cell. The space group is C2/m.

a = 9.3146 Å, b = 9.3146 Å, c = 5.4578 Å
α = 92.51°, β = 92.51°, γ = 50.03°
Fractional positions:
K1 0.0000 0.0000 0.0000
K2 0.0000 0.5000 0.5000
K3 0.5000 0.0000 0.5000
W1 0.5000 0.5000 0.5000
I1 0.1964 0.1964 0.9916
I2 0.8036 0.8036 0.0084
F1 0.3134 0.6756 0.2613
F2 0.3244 0.6866 0.7387
F3 0.3830 0.3830 0.5095
F4 0.6170 0.6170 0.4905
F5 0.6756 0.3134 0.2613
F6 0.6866 0.3244 0.7387